1.
Below is crystalline CaTb8Dy4 at its relaxed geometry, with properties calculated at the PBE-GGA level.

Values from the calculation:
Formation energy from the elements: 0.57 eV per formula unit
SG: C2/m

Cell: 6.1791 6.1789 14.7739 Å, 93.94 93.94 48.22°
Positions (direct):
Ca1 0.5157 0.0017 0.9669
Tb1 0.0540 0.5397 0.3525
Tb2 0.4391 0.9249 0.2018
Tb3 0.5923 0.0785 0.7320
Tb4 0.9775 0.4637 0.5813
Tb5 0.7483 0.2343 0.2757
Tb6 0.2082 0.6944 0.8858
Tb7 0.2831 0.7691 0.6580
Tb8 0.8232 0.3090 0.0479
Dy1 0.3627 0.8485 0.4287
Dy2 0.8946 0.3809 0.8071
Dy3 0.1368 0.6225 0.1267
Dy4 0.6687 0.1549 0.5051

2.
Below is crystalline SiNi2W2 at its relaxed geometry, with properties calculated at the PBE-GGA level.

Values from the calculation:
E_form (uncorrected): 311 meV/atom
Offset from the most stable computed form: 0 meV per atom
SG: I4/mmm

Cell: 3.2129 3.2129 7.1839 Å, 77.08 77.08 90.00°
Positions (direct):
Ni1 0.7500 0.2500 0.5000
Ni2 0.2500 0.7500 0.5000
Si1 0.0000 0.0000 0.0000
W1 0.3972 0.3972 0.2055
W2 0.6028 0.6028 0.7945

3.
Below is crystalline La2YPb at its relaxed geometry, with properties calculated at the PBE-GGA level.

Values from the calculation:
Formation energy from the elements: -0.89 eV per formula unit
SG: P4/mmm

Cell: 5.8732 5.8732 3.8106 Å, 90.00 90.00 90.00°
Positions (direct):
La1 0.0000 0.0000 0.0000
La2 0.5000 0.5000 0.0000
Pb1 0.5000 0.0000 0.5000
Y1 0.0000 0.5000 0.5000

4.
Below is crystalline Ho2CuHPd6 at its relaxed geometry, with properties calculated at the PBE-GGA level.

Values from the calculation:
SG: P-1
E: -5.38 eV per atom

Cell: 5.6434 6.8086 5.7119 Å, 64.22 60.48 90.04°
Positions (direct):
Ho1 0.7181 0.1715 0.5660
Ho2 0.2819 0.8285 0.4340
Cu1 0.0000 0.0000 0.0000
H1 0.5000 0.5000 0.0000
Pd1 0.2678 0.3281 0.4676
Pd2 0.7407 0.7011 0.0123
Pd3 0.2423 0.6982 0.0146
Pd4 0.7577 0.3018 0.9854
Pd5 0.2593 0.2989 0.9877
Pd6 0.7322 0.6719 0.5324